A relaxed GdHoPu crystal. Source: Alexandria, functional PBE-GGA.

```
GdHoPu
1.0
-1.7495 1.7495 7.4272
1.7495 -1.7495 7.4272
1.7495 1.7495 -7.4272
Gd Ho Pu
1 1 1
direct
0.0000 0.0000 0.0000 Gd
0.6741 0.6741 0.0000 Ho
0.3357 0.3357 0.0000 Pu
```

Calculated values
For the energy, the calculation gives -10.873 eV/atom. The value obtained for the density of states at the Fermi level is 7.44 states/eV/f.u.